LaDyGaRu, optimized geometry, DFT PBE; SG = No. 216; magnetization = 0.000 μB per formula unit; total energy = -5.816 eV/atom; E above lowest polymorph = 105 meV/atom
1.0
-1.571 3.887 -2.841
-4.948 0.698 -0.824
-2.400 3.904 2.155
Ru La Ga Dy
1 1 1 1
Direct
0.750 0.750 0.750
0.000 0.000 0.000
0.250 0.250 0.250
0.500 0.500 0.500